[1]
This record from the Alexandria database describes a relaxed structure of Be2FeSi. The functional is GGA-PBE.

a = 7.5588 Å, b = 7.5588 Å, c = 7.5588 Å
α = 19.31°, β = 19.31°, γ = 19.31°
Closest atoms and distances in Å follow each position.
Sites, in units of the cell vectors:
Be: 0.9974 0.9974 0.9974  9 Be 2.33-2.54, 3 Si 2.43
Be: 0.2492 0.2492 0.2492  3 Fe 2.31, 9 Be 2.33-2.54
Fe: 0.5020 0.5020 0.5020  3 Be 2.31, 3 Si 2.38, 6 Fe 2.54
Si: 0.7513 0.7513 0.7513  3 Fe 2.38, 3 Be 2.43, 6 Si 2.54

Calculated values
Its total magnetic moment is 1.1 μB per formula unit. Its crystal system is trigonal. For the energy, the calculation gives -5.211 eV/atom. The value obtained for the uncorrected formation energy is 0.12 eV per atom. Its density of states at the Fermi level is 2.907 states/eV/cell. The space group is R3m.

[2]
This record from the Alexandria database describes a relaxed structure of Be2FeSi. The functional is GGA-PBE.

a = 4.1126 Å, b = 4.1126 Å, c = 2.5346 Å
α = 90.00°, β = 90.00°, γ = 111.10°
Closest atoms and distances in Å follow each position.
Sites, in units of the cell vectors:
Si: 0.0000 0.5000 0.5000  2 Fe 2.33, 8 Be 2.42, 2 Si 2.53
Fe: 0.5000 0.0000 0.5000  2 Si 2.33, 8 Be 2.42, 2 Fe 2.53
Be: 0.0000 0.0000 0.0000  4 Be 2.33-2.53, 4 Si 2.42, 4 Fe 2.42
Be: 0.5000 0.5000 0.0000  4 Be 2.33-2.53, 4 Fe 2.42, 4 Si 2.42

Calculated values
Its total magnetic moment is 1.6 μB per formula unit. Its crystal system is orthorhombic. For the energy, the calculation gives -5.352 eV/atom. The value obtained for the uncorrected formation energy is -0.02 eV per atom. Its density of states at the Fermi level is 1.998 states/eV/cell. The space group is Cmmm.

[3]
This record from the Alexandria database describes a relaxed structure of Be2FeSi. The functional is GGA-PBE.

a = 3.7624 Å, b = 2.4699 Å, c = 4.3127 Å
α = 90.71°, β = 90.00°, γ = 90.00°
Closest atoms and distances in Å follow each position.
Sites, in units of the cell vectors:
Si: 0.5000 0.7500 0.7500  4 Be 2.21, 2 Si 2.47, 2 Fe 2.47
Fe: 0.5000 0.2500 0.2500  8 Be 2.44-2.49, 2 Fe 2.47, 4 Si 2.47-2.50
Be: 0.0000 0.7652 0.0197  1 Be 1.99, 2 Si 2.21
Be: 0.0000 0.7348 0.4803  1 Be 1.99, 2 Si 2.21

Calculated values
Its total magnetic moment is 1.2 μB per formula unit. Its crystal system is monoclinic. For the energy, the calculation gives -5.400 eV/atom. The value obtained for the uncorrected formation energy is -0.07 eV per atom. Its density of states at the Fermi level is 2.035 states/eV/cell. The space group is P2/m.

[4]
This record from the Alexandria database describes a relaxed structure of BeFe2Si. The functional is GGA-PBE.

a = 4.3592 Å, b = 4.3592 Å, c = 4.3592 Å
α = 134.16°, β = 134.16°, γ = 66.84°
Closest atoms and distances in Å follow each position.
Sites, in units of the cell vectors:
Fe: 0.0000 0.0000 0.0000  4 Si 2.40, 4 Fe 2.49, 4 Be 2.49
Fe: 0.2500 0.7500 0.5000  4 Be 2.40, 4 Fe 2.49, 4 Si 2.49
Be: 0.7500 0.2500 0.5000  8 Fe 2.40-2.49, 4 Si 2.49
Si: 0.5000 0.5000 0.0000  8 Fe 2.40-2.49, 4 Be 2.49

Calculated values
Its total magnetic moment is 3.7 μB per formula unit. Its crystal system is tetragonal. For the energy, the calculation gives -6.773 eV/atom. The value obtained for the uncorrected formation energy is -0.25 eV per atom. Its density of states at the Fermi level is 2.307 states/eV/cell. The space group is I-4m2.

[5]
This record from the Alexandria database describes a relaxed structure of Be2FeSi. The functional is GGA-PBE.

a = 4.1904 Å, b = 4.1904 Å, c = 4.1904 Å
α = 134.18°, β = 132.78°, γ = 67.91°
Closest atoms and distances in Å follow each position.
Sites, in units of the cell vectors:
Si: 0.2493 0.7493 0.5000  8 Be 2.34-2.41, 4 Fe 2.40
Be: 0.9977 0.9977 0.0000  4 Fe 2.34, 4 Be 2.37-2.43, 4 Si 2.39-2.41
Be: 0.7513 0.2513 0.5000  4 Si 2.34, 4 Be 2.37-2.43, 4 Fe 2.38-2.42
Fe: 0.5017 0.5017 0.0000  8 Be 2.34-2.42, 4 Si 2.40

Calculated values
Its total magnetic moment is 1.0 μB per formula unit. Its crystal system is orthorhombic. For the energy, the calculation gives -5.606 eV/atom. The value obtained for the uncorrected formation energy is -0.27 eV per atom. Its density of states at the Fermi level is 2.507 states/eV/cell. The space group is Imm2.

[6]
This record from the Alexandria database describes a relaxed structure of Be2FeSi. The functional is GGA-PBE.

a = 6.2772 Å, b = 6.2772 Å, c = 4.9801 Å
α = 50.93°, β = 50.93°, γ = 90.00°
Closest atoms and distances in Å follow each position.
Sites, in units of the cell vectors:
Be: 0.8750 0.8774 0.7500  2 Be 2.26, 2 Fe 2.28, 2 Si 2.30
Be: 0.3750 0.3726 0.7500  2 Be 2.26, 2 Fe 2.28, 2 Si 2.30
Be: 0.6274 0.1250 0.2500  2 Be 2.26, 2 Fe 2.28, 2 Si 2.30
Be: 0.1226 0.6250 0.2500  2 Be 2.26, 2 Fe 2.28, 2 Si 2.30
Fe: 0.0000 0.0000 0.0000  2 Si 2.26, 4 Be 2.28
Fe: 0.7500 0.2500 0.5000  2 Si 2.26, 4 Be 2.28
Si: 0.2500 0.7500 0.5000  2 Fe 2.26, 4 Be 2.30
Si: 0.5000 0.5000 0.0000  2 Fe 2.26, 4 Be 2.30

Calculated values
Its total magnetic moment is 2.0 μB per formula unit. Its crystal system is tetragonal. For the energy, the calculation gives -4.935 eV/atom. The value obtained for the uncorrected formation energy is 0.40 eV per atom. Its density of states at the Fermi level is 2.058 states/eV/cell. The space group is I-42d.